VASP calculation (GGA-PBE) on a geometry-optimized TaPt2 structure.

Calculated values
The value obtained for the energy relative to the elements is -49.9 kJ per mole of atoms. The calculation puts the density at 19.23 g/cm³. As for the crystal system: monoclinic.

Cell: 10.3521 2.9730 6.6710 Å, 90.00 106.07 90.00°
Space group C2/m (No. 12)
Asymmetric unit:
Ta 0.1869 0.0000 0.1405 [4 per cell]
Pt 0.0283 0.5000 0.8060 [4 per cell]
Pt 0.1470 0.0000 0.5448 [4 per cell]

VASP calculation (GGA-PBE) on a geometry-optimized Tb2Sm9In structure.

Calculated values
The value obtained for the energy relative to the elements is -6.5 kJ per mole of atoms. The calculation puts the density at 7.66 g/cm³. As for the crystal system: tetragonal.

Cell: 5.0208 5.0208 15.3644 Å, 90.00 90.00 90.00°
Space group P4/mmm (No. 123)
Asymmetric unit:
Tb 0.0000 0.0000 0.1686 [2 per cell]
Sm 0.0000 0.5000 0.0000 [2 per cell]
Sm 0.0000 0.5000 0.3388 [4 per cell]
Sm 0.5000 0.5000 0.1704 [2 per cell]
Sm 0.5000 0.5000 0.5000 [1 per cell]
In 0.0000 0.0000 0.5000 [1 per cell]

VASP calculation (GGA-PBE) on a geometry-optimized MgTi2Zn2 structure.

Calculated values
The value obtained for the energy relative to the elements is 12.7 kJ per mole of atoms. The calculation puts the density at 4.55 g/cm³. As for the crystal system: tetragonal. As for the distance to the lowest polymorph of the same formula: 0.1854 eV per atom.

Cell: 3.8705 3.8705 12.2306 Å, 90.00 90.00 90.00°
Space group I4/mmm (No. 139)
Asymmetric unit:
Mg 0.0000 0.0000 0.0000 [2 per cell]
Ti 0.0000 0.5000 0.2500 [4 per cell]
Zn 0.0000 0.0000 0.4027 [4 per cell]

VASP calculation (GGA-PBE) on a geometry-optimized Be2AlW structure.

Calculated values
The value obtained for the energy relative to the elements is 18.0 kJ per mole of atoms. The calculation puts the density at 7.87 g/cm³. As for the crystal system: tetragonal.

Cell: 2.7995 2.7995 6.1638 Å, 90.00 90.00 90.00°
Space group P4mm (No. 99)
Asymmetric unit:
Be 0.0000 0.0000 0.0000 [1 per cell]
Be 0.5000 0.5000 0.1575 [1 per cell]
Al 0.5000 0.5000 0.7354 [1 per cell]
W 0.0000 0.0000 0.4182 [1 per cell]

VASP calculation (GGA-PBE) on a geometry-optimized ZrCrRh3 structure.

Calculated values
The value obtained for the energy relative to the elements is 34.9 kJ per mole of atoms. The calculation puts the density at 8.45 g/cm³. As for the crystal system: cubic. As for the distance to the lowest polymorph of the same formula: 0.0000 eV per atom.

Cell: 4.4624 4.4624 4.4624 Å, 90.00 90.00 90.00°
Space group Pm-3m (No. 221)
Asymmetric unit:
Zr 0.0000 0.0000 0.0000 [1 per cell]
Cr 0.5000 0.5000 0.5000 [1 per cell]
Rh 0.0000 0.5000 0.5000 [3 per cell]

VASP calculation (GGA-PBE) on a geometry-optimized NaHoInPb structure.

Calculated values
The value obtained for the energy relative to the elements is -27.7 kJ per mole of atoms. The calculation puts the density at 7.94 g/cm³. As for the crystal system: orthorhombic. As for the distance to the lowest polymorph of the same formula: 0.0000 eV per atom.

Cell: 4.3117 4.8980 5.0481 Å, 90.00 90.00 90.00°
Space group Pmmm (No. 47)
Asymmetric unit:
Na 0.0000 0.0000 0.0000 [1 per cell]
Ho 0.0000 0.5000 0.5000 [1 per cell]
In 0.5000 0.5000 0.0000 [1 per cell]
Pb 0.5000 0.0000 0.5000 [1 per cell]

VASP calculation (GGA-PBE) on a geometry-optimized RbPdI structure.

Calculated values
The calculation puts the density at 4.46 g/cm³. As for the formation energy (no corrections): -0.61 eV per atom. As for the crystal system: monoclinic. As for the distance to the lowest polymorph of the same formula: 0.0638 eV per atom.

Cell: 5.0868 4.8217 9.9030 Å, 90.00 102.12 90.00°
Space group Pm (No. 6)
Asymmetric unit:
Rb 0.0000 0.0000 0.0000 [1 per cell]
Rb 0.3011 0.0000 0.5472 [1 per cell]
Pd 0.3115 0.5000 0.2610 [1 per cell]
Pd 0.6145 0.0000 0.2796 [1 per cell]
I 0.4286 0.5000 0.8295 [1 per cell]
I 0.8350 0.5000 0.3164 [1 per cell]

VASP calculation (GGA-PBE) on a geometry-optimized LaCdI2N structure.

Calculated values
The calculation puts the density at 5.69 g/cm³. As for the formation energy (no corrections): 0.13 eV per atom. As for the crystal system: tetragonal. As for the distance to the lowest polymorph of the same formula: 0.4376 eV per atom.

Cell: 6.0751 6.0751 4.1029 Å, 90.00 90.00 90.00°
Space group P4/mmm (No. 123)
Asymmetric unit:
La 0.0000 0.0000 0.0000 [1 per cell]
Cd 0.5000 0.5000 0.5000 [1 per cell]
I 0.0000 0.5000 0.5000 [2 per cell]
N 0.5000 0.5000 0.0000 [1 per cell]

VASP calculation (GGA-PBE) on a geometry-optimized MgAlTlIn structure.

Calculated values
The value obtained for the energy relative to the elements is 14.0 kJ per mole of atoms. The calculation puts the density at 6.41 g/cm³. As for the crystal system: cubic.

Cell: 7.2663 7.2663 7.2663 Å, 90.00 90.00 90.00°
Space group F-43m (No. 216)
Asymmetric unit:
Mg 0.0000 0.0000 0.0000 [4 per cell]
Al 0.0000 0.0000 0.5000 [4 per cell]
Tl 0.2500 0.2500 0.7500 [4 per cell]
In 0.2500 0.2500 0.2500 [4 per cell]

VASP calculation (GGA-PBE) on a geometry-optimized Cd3OsC structure.

Calculated values
The value obtained for the energy relative to the elements is 206.5 kJ per mole of atoms. The calculation puts the density at 6.26 g/cm³. As for the crystal system: cubic. As for the distance to the lowest polymorph of the same formula: 0.6836 eV per atom.

Cell: 5.2300 5.2300 5.2300 Å, 90.00 90.00 90.00°
Space group Pm-3m (No. 221)
Asymmetric unit:
Cd 0.0000 0.0000 0.5000 [3 per cell]
Os 0.0000 0.0000 0.0000 [1 per cell]
C 0.5000 0.5000 0.5000 [1 per cell]

VASP calculation (GGA-PBE) on a geometry-optimized K2PmNdTe4 structure.

Calculated values
The calculation puts the density at 4.80 g/cm³. As for the formation energy (no corrections): -1.42 eV per atom. As for the crystal system: monoclinic.

Cell: 7.9769 4.6067 8.6741 Å, 90.00 107.82 90.00°
Space group P2/m (No. 10)
Asymmetric unit:
K 0.0000 0.0000 0.0000 [1 per cell]
K 0.5000 0.5000 0.0000 [1 per cell]
Pm 0.0000 0.5000 0.5000 [1 per cell]
Nd 0.5000 0.0000 0.5000 [1 per cell]
Te 0.2362 0.0000 0.7137 [2 per cell]
Te 0.2606 0.5000 0.2855 [2 per cell]

VASP calculation (GGA-PBE) on a geometry-optimized TlHgPF6 structure.

Calculated values
The calculation puts the density at 5.25 g/cm³. As for the formation energy (no corrections): -2.18 eV per atom. As for the crystal system: triclinic.

Cell: 5.2258 5.4662 6.6038 Å, 67.34 88.04 89.77°
Space group P1 (No. 1)
Asymmetric unit:
Tl 0.0000 0.0000 0.0000 [1 per cell]
Hg 0.8081 0.6360 0.7062 [1 per cell]
P 0.3977 0.3427 0.3102 [1 per cell]
F 0.1403 0.1540 0.3671 [1 per cell]
F 0.2410 0.5640 0.3748 [1 per cell]
F 0.3061 0.4907 0.0542 [1 per cell]
F 0.4848 0.1952 0.5635 [1 per cell]
F 0.5522 0.1234 0.2392 [1 per cell]
F 0.6543 0.5313 0.2495 [1 per cell]

VASP calculation (GGA-PBE) on a geometry-optimized CsNaOsO4 structure.

Calculated values
The calculation puts the density at 3.98 g/cm³. As for the formation energy (no corrections): -1.35 eV per atom. As for the crystal system: tetragonal.

Cell: 6.4660 6.4660 8.1922 Å, 90.00 90.00 90.00°
Space group I-4 (No. 82)
Asymmetric unit:
Cs 0.0000 0.0000 0.0000 [2 per cell]
Na 0.0000 0.0000 0.5000 [2 per cell]
Os 0.0000 0.5000 0.7500 [2 per cell]
O 0.1123 0.2626 0.6776 [8 per cell]

Respective spin magnetization values: 0.00, 0.00, 0.00, 0.00, 0.00, 0.00, 0.00, 0.61, 0.00, 2.63, 0.00, 0.00, 0.00 Bohr magnetons per cell.